(1)
Density functional theory data (PBEsol) for an optimized crystal structure of CrIn2Au.

Computed properties:
The value obtained for the formation enthalpy at 0 K is 0.238 eV/atom. The space group is F-43m (216).

The structure in extended XYZ format:
```
4
Lattice="0.0000 3.3629 3.3629 3.3629 0.0000 3.3629 3.3629 3.3629 0.0000" Properties=species:S:1:pos:R:3 pbc="T T T"
Cr 0.0000 0.0000 0.0000
In 3.3629 3.3629 3.3629
In 5.0444 5.0444 5.0444
Au 1.6815 1.6815 1.6815
```

***

(2)
Density functional theory data (PBEsol) for an optimized crystal structure of Sr2NiPBr.

Computed properties:
The uncorrected formation energy is 7.4 kJ per mole of atoms. The space group is P4/mmm (123).

The structure in extended XYZ format:
```
5
Lattice="5.7631 0.0000 0.0000 0.0000 5.7631 0.0000 0.0000 0.0000 5.0265" Properties=species:S:1:pos:R:3 pbc="T T T"
Sr 0.0000 2.8816 0.0000
Sr 2.8816 0.0000 0.0000
Ni 0.0000 0.0000 2.5133
P 2.8816 2.8816 0.0000
Br 2.8816 2.8816 2.5133
```

***

(3)
Density functional theory data (PBEsol) for an optimized crystal structure of LaZn2Rh2.

Computed properties:
The value obtained for the formation enthalpy at 0 K is -0.490 eV/atom. The space group is P4/mbm (127).

The structure in extended XYZ format:
```
10
Lattice="7.3546 0.0000 0.0000 0.0000 7.3546 0.0000 0.0000 0.0000 3.0328" Properties=species:S:1:pos:R:3 pbc="T T T"
La 0.0000 0.0000 0.0000
La 3.6773 3.6773 0.0000
Zn 0.9463 2.7310 1.5164
Zn 2.7310 6.4083 1.5164
Zn 4.6236 0.9463 1.5164
Zn 6.4083 4.6236 1.5164
Rh 1.2001 4.8774 0.0000
Rh 2.4772 1.2001 0.0000
Rh 4.8774 6.1545 0.0000
Rh 6.1545 2.4772 0.0000
```

***

(4)
Density functional theory data (PBEsol) for an optimized crystal structure of SrLi.

Computed properties:
The value obtained for the formation enthalpy at 0 K is 0.027 eV/atom. The space group is Pm-3m (221).

The structure in extended XYZ format:
```
2
Lattice="4.1867 0.0000 0.0000 0.0000 4.1867 0.0000 0.0000 0.0000 4.1867" Properties=species:S:1:pos:R:3 pbc="T T T"
Sr 0.0000 0.0000 0.0000
Li 2.0933 2.0933 2.0933
```

***

(5)
Density functional theory data (PBEsol) for an optimized crystal structure of YZrCl2.

Computed properties:
The uncorrected formation energy is -69.0 kJ per mole of atoms. The space group is P4/mmm (123).

The structure in extended XYZ format:
```
4
Lattice="3.1701 0.0000 0.0000 0.0000 3.1701 0.0000 0.0000 0.0000 10.8446" Properties=species:S:1:pos:R:3 pbc="T T T"
Y 0.0000 0.0000 0.0000
Zr 0.0000 0.0000 5.4223
Cl 1.5850 1.5850 1.6027
Cl 1.5850 1.5850 9.2419
```

***

(6)
Density functional theory data (PBEsol) for an optimized crystal structure of CuNi2Ir.

Computed properties:
The value obtained for the formation enthalpy at 0 K is 0.123 eV/atom. The space group is Imm2 (44).

The structure in extended XYZ format:
```
4
Lattice="-1.3229 2.1100 4.1812 1.3229 -2.1100 4.1812 1.3229 2.1100 -4.1812" Properties=species:S:1:pos:R:3 pbc="T T T"
Cu 0.0000 0.0000 0.0000
Ni 0.0000 0.0000 4.3195
Ni 0.0000 2.1100 2.1265
Ir 1.3229 0.0000 2.2197
```